[1]
A plane-wave DFT calculation with PBE-GGA was carried out for DyY3Er3 after structural relaxation.

Cell and atoms, written as extended XYZ:
```
14
Lattice="3.077 1.777 14.100 -3.077 1.777 14.100 0.000 -3.553 14.100" Properties=species:S:1:pos:R:3 pbc="T T T"
Dy 0.000 0.000 7.050
Dy 0.000 0.000 35.249
Y -1.027 -1.779 18.316
Y -2.054 0.000 23.983
Y -1.027 1.779 18.316
Y 1.027 -1.779 23.983
Y 2.054 0.000 18.316
Y 1.027 1.779 23.983
Er -2.040 0.001 15.505
Er -1.021 -1.767 26.794
Er 1.019 -1.767 15.505
Er -1.019 1.767 26.794
Er 1.021 1.767 15.505
Er 2.040 -0.001 26.794
```

Properties
- calculated formation energy (meV per atom) = 142
- Fermi-level density of states (states/eV per cell) = 20.24
- E above lowest polymorph (kJ/mol of formula units) = 0

[2]
A plane-wave DFT calculation with PBE-GGA was carried out for Y4Tl2PSe after structural relaxation.

Cell and atoms, written as extended XYZ:
```
8
Lattice="6.864 0.000 0.000 0.000 3.931 0.000 -2.242 0.000 7.917" Properties=species:S:1:pos:R:3 pbc="T T T"
Y 1.088 0.000 1.628
Y -0.032 1.966 6.233
Y 4.655 1.966 1.684
Y 3.534 0.000 6.290
Tl -1.121 0.000 3.959
Tl 2.311 1.966 3.959
P 0.000 1.966 0.000
Se 3.432 0.000 0.000
```

Properties
- formation energy from raw total energies (meV/atom) = -1052
- Fermi-level density of states (states/eV per cell) = 4.42

[3]
A plane-wave DFT calculation with PBE-GGA was carried out for Y8Tm2Zn after structural relaxation.

Cell and atoms, written as extended XYZ:
```
11
Lattice="9.573 -2.754 0.000 9.573 2.754 0.000 -0.492 0.000 6.353" Properties=species:S:1:pos:R:3 pbc="T T T"
Y 0.703 0.000 1.617
Y 2.608 0.000 5.106
Y 6.148 0.000 5.549
Y 7.902 0.000 2.478
Y 10.751 0.000 3.875
Y 12.505 0.000 0.804
Y 16.045 0.000 1.246
Y 17.950 0.000 4.736
Tm 4.469 0.000 2.117
Tm 14.184 0.000 4.235
Zn 9.573 0.000 0.000
```

Properties
- calculated formation energy (meV per atom) = -25
- Fermi-level density of states (states/eV per cell) = 16.98

[4]
A plane-wave DFT calculation with PBE-GGA was carried out for BaLaTe after structural relaxation.

Cell and atoms, written as extended XYZ:
```
3
Lattice="-2.056 2.056 7.318 2.056 -2.056 7.318 2.056 2.056 -7.318" Properties=species:S:1:pos:R:3 pbc="T T T"
Ba 0.000 0.000 0.000
La 0.000 0.000 10.690
Te 0.000 0.000 4.988
```

Properties
- formation energy from raw total energies (meV/atom) = -869
- Fermi-level density of states (states/eV per cell) = 4.07
- E above lowest polymorph (kJ/mol of formula units) = 37

Q: Which of these has the lowest Fermi-level density of states?
A: BaLaTe